The following is a DFT calculation (PBE) of an optimized crystal structure of RbOsPb3.

Summary:
DOS(E_F) = 1.0299 states/eV/atom
calculated total energy = -4.202 eV/atom
volume = 32.6 A^3/atom
DFT formation energy = 462 meV per atom

```
data_RbOsPb3
_space_group_name_H-M_alt 'P m -3 m'
_space_group_IT_number 221
_space_group_name_Hall '-P 4 2 3'
_cell_length_a 5.464
_cell_length_b 5.464
_cell_length_c 5.464
_cell_angle_alpha 90.00
_cell_angle_beta 90.00
_cell_angle_gamma 90.00
loop_
_atom_site_label
_atom_site_type_symbol
_atom_site_fract_x
_atom_site_fract_y
_atom_site_fract_z
Rb1 Rb 0.000 0.000 0.000
Os1 Os 0.500 0.500 0.500
Pb1 Pb 0.000 0.500 0.500
```